1.
A geometry-optimized Ac3GeBi structure, computed with PBE.

## Properties
**E_form**: -35.2 kJ per mole of atoms
**Offset from the most stable computed form**: 346.5 meV/atom
**Uncorrected energy**: -45.30 eV for the cell shown

abc: 7.849 7.849 9.326
angles: 114.89 114.89 59.96
Fractional positions:
Ac: 0.000 0.000 0.000
Ac: 0.327 0.813 0.463
Ac: 0.490 0.999 0.000
Ac: 0.813 0.327 0.463
Ac: 0.813 0.813 0.463
Ac: 0.999 0.490 0.000
Ge: 0.743 0.743 0.740
Ge: 0.908 0.908 0.233
Bi: 0.288 0.288 0.374
Bi: 0.530 0.530 0.100

---

2.
A geometry-optimized Ac12Ge6Bi structure, computed with PBE.

## Properties
**E_form**: -52.0 kJ per mole of atoms
**Uncorrected energy**: -91.13 eV for the cell shown

abc: 9.570 9.570 9.570
angles: 109.47 109.47 109.47
Fractional positions:
Ac: 0.107 0.297 0.810
Ac: 0.190 0.487 0.297
Ac: 0.190 0.893 0.703
Ac: 0.297 0.190 0.487
Ac: 0.297 0.810 0.107
Ac: 0.487 0.297 0.190
Ac: 0.513 0.703 0.810
Ac: 0.703 0.190 0.893
Ac: 0.703 0.810 0.513
Ac: 0.810 0.107 0.297
Ac: 0.810 0.513 0.703
Ac: 0.893 0.703 0.190
Ge: 0.115 0.500 0.615
Ge: 0.385 0.885 0.500
Ge: 0.500 0.385 0.885
Ge: 0.500 0.615 0.115
Ge: 0.615 0.115 0.500
Ge: 0.885 0.500 0.385
Bi: 0.000 0.000 0.000